(1)
Entry from the Alexandria database: AgI after structural relaxation (PBE-GGA).

Output
Uncorrected formation energy   -0.23 eV/atom
ρ   5.5 g/cm³

a = 4.5351 Å, b = 7.1580 Å, c = 8.9643 Å
α = 89.94°, β = 75.82°, γ = 89.97°
With the nearest neighbours (Å) after each atom.
Element x y z (fractional)
1 Ag 0.0000 0.0000 0.0000  4 I 2.86-2.89
2 Ag 0.1644 0.6081 0.2967  4 I 2.88-2.89
3 Ag 0.4024 0.1078 0.4530  4 I 2.88-2.89
4 Ag 0.5738 0.5004 0.7497  4 I 2.86-2.89
5 I 0.0773 0.2530 0.7469  4 Ag 2.86-2.88
6 I 0.4960 0.7525 0.0031  4 Ag 2.86-2.89
7 I 0.5753 0.7230 0.4798  4 Ag 2.89
8 I 0.9924 0.2231 0.2700  4 Ag 2.88-2.89

***

(2)
Entry from the Alexandria database: PuPb2 after structural relaxation (PBE-GGA).

Output
N(E_F)   15.5 states/eV per cell
ΔH_f (0 K)   -0.056 eV/atom
ρ   12.5 g/cm³

a = 3.4517 Å, b = 3.4517 Å, c = 14.6339 Å
α = 90.00°, β = 90.00°, γ = 90.00°
With the nearest neighbours (Å) after each atom.
Element x y z (fractional)
1 Pu 0.0000 0.0000 0.1593  8 Pb 3.37-3.44, 4 Pu 3.45
2 Pu 0.0000 0.0000 0.8407  8 Pb 3.37-3.44, 4 Pu 3.45
3 Pb 0.0000 0.0000 0.5000  12 Pb 3.45-3.54
4 Pb 0.5000 0.5000 0.0000  8 Pu 3.37, 4 Pb 3.45
5 Pb 0.5000 0.5000 0.3247  4 Pu 3.44, 8 Pb 3.45-3.54
6 Pb 0.5000 0.5000 0.6753  4 Pu 3.44, 8 Pb 3.45-3.54

***

Calculated volume (Å³ per atom)
35.3 29.1